# 1
Below is crystalline CePr5Sm4 at its relaxed geometry, with properties calculated at the GGA-PBE level.

Crystal system ... monoclinic
ΔH_f (0 K) ... 99.8 meV per atom
Volume ... 348.5 Å³/cell
DOS at the Fermi energy ... 16.451 states/eV/cell
Total moment ... 0.47 μB per formula unit

Lattice parameters (Å, degrees): 3.5632 11.2186 9.2877 73.37 101.06 90.00
Last column: nearest neighbours and their distance in Å.
Sites, in units of the cell vectors:
Sm1 0.9075 0.8105 0.8150  4 Pr 3.43-3.84, 5 Sm 3.54-3.71, 2 Ce 3.55
Sm2 0.0925 0.1895 0.1850  4 Pr 3.43-3.84, 5 Sm 3.54-3.71, 2 Ce 3.55
Ce1 0.5000 0.0000 0.0000  6 Sm 3.40-3.55, 2 Ce 3.56, 4 Pr 3.66
Pr1 0.7947 0.6011 0.5894  7 Pr 3.50-3.78, 2 Sm 3.50-3.55
Sm3 0.3054 0.0809 0.6108  1 Ce 3.40, 3 Pr 3.50-3.64, 7 Sm 3.54-3.71
Pr2 0.1043 0.7164 0.2086  3 Sm 3.43-3.64, 5 Pr 3.50-3.78, 2 Ce 3.66
Pr3 0.5000 0.5000 0.0000  6 Pr 3.56-3.92, 4 Sm 3.84
Pr4 0.8957 0.2836 0.7914  3 Sm 3.43-3.64, 5 Pr 3.50-3.78, 2 Ce 3.66
Sm4 0.6946 0.9191 0.3892  1 Ce 3.40, 3 Pr 3.50-3.64, 7 Sm 3.54-3.71
Pr5 0.2053 0.3989 0.4106  7 Pr 3.50-3.78, 2 Sm 3.50-3.55


# 2
Below is crystalline ZrZn2Pt at its relaxed geometry, with properties calculated at the GGA-PBE level.

Crystal system ... tetragonal
ΔH_f (0 K) ... -596.0 meV per atom
Volume ... 66.4 Å³/cell
DOS at the Fermi energy ... 2.341 states/eV/cell
Total moment ... 0.00 μB per formula unit

Lattice parameters (Å, degrees): 4.5635 4.5635 4.5635 120.72 120.79 88.70
Last column: nearest neighbours and their distance in Å.
Sites, in units of the cell vectors:
Zn1 0.0000 0.0000 0.0000  4 Zn 2.78-2.79, 4 Pt 2.78-2.79
Zr1 0.5000 0.5000 0.0000  4 Pt 2.78, 4 Zn 2.78
Zn2 0.7498 0.2498 0.5000  4 Zn 2.78-2.79, 4 Zr 2.78
Pt1 0.2502 0.7502 0.5000  4 Zn 2.78-2.79, 4 Zr 2.78


Please write out number 2 again, unchanged.
Below is crystalline ZrZn2Pt at its relaxed geometry, with properties calculated at the GGA-PBE level.

Crystal system ... tetragonal
ΔH_f (0 K) ... -596.0 meV per atom
Volume ... 66.4 Å³/cell
DOS at the Fermi energy ... 2.341 states/eV/cell
Total moment ... 0.00 μB per formula unit

Lattice parameters (Å, degrees): 4.5635 4.5635 4.5635 120.72 120.79 88.70
Last column: nearest neighbours and their distance in Å.
Sites, in units of the cell vectors:
Zn1 0.0000 0.0000 0.0000  4 Zn 2.78-2.79, 4 Pt 2.78-2.79
Zr1 0.5000 0.5000 0.0000  4 Pt 2.78, 4 Zn 2.78
Zn2 0.7498 0.2498 0.5000  4 Zn 2.78-2.79, 4 Zr 2.78
Pt1 0.2502 0.7502 0.5000  4 Zn 2.78-2.79, 4 Zr 2.78


> Which of these has the highest total moment?

CePr5Sm4